# BaMn2N4 | Alexandria | PBE | optimized geometry
# M_tot (μB/f.u.): 0.0
# E (eV per formula unit): -56.3
data_BaMn2N4
_cell_length_a 10.7316
_cell_length_b 10.7316
_cell_length_c 10.7316
_cell_angle_alpha 90.00
_cell_angle_beta 90.00
_cell_angle_gamma 90.00
_space_group_name_H-M_alt 'P a -3'
_space_group_IT_number 205
_space_group_name_Hall '-P 2ac 2ab 3'
loop_
_atom_site_label
_atom_site_fract_x
_atom_site_fract_y
_atom_site_fract_z
_atom_site_occupancy
Ba1 0.0000 0.0000 0.0000 1
Ba2 0.1248 0.6248 0.8752 1
Mn1 0.1146 0.1934 0.3472 1
N1 0.0034 0.0892 0.2739 1
N2 0.1257 0.1695 0.7612 1

=====

# CuNiAsRh | Alexandria | PBE | optimized geometry
# Energy relative to the elements (eV per atom): -0.10
# M_tot (μB/f.u.): 0.0
# E (eV per formula unit): -22.3
data_CuNiAsRh
_cell_length_a 5.9356
_cell_length_b 5.9356
_cell_length_c 5.9356
_cell_angle_alpha 90.00
_cell_angle_beta 90.00
_cell_angle_gamma 90.00
_space_group_name_H-M_alt 'F -4 3 m'
_space_group_IT_number 216
_space_group_name_Hall 'F -4 2 3'
loop_
_atom_site_label
_atom_site_fract_x
_atom_site_fract_y
_atom_site_fract_z
_atom_site_occupancy
Cu1 0.0000 0.0000 0.0000 1
Ni1 0.2500 0.2500 0.7500 1
As1 0.0000 0.0000 0.5000 1
Rh1 0.2500 0.2500 0.2500 1

=====

# Ge3PRu | Alexandria | PBE | optimized geometry
# ΔE to the lowest computed polymorph (kJ/mol of formula units): 0
# Energy relative to the elements (eV per atom): 0.46
# M_tot (μB/f.u.): 0.5
# E (eV per formula unit): -26.3
data_Ge3PRu
_cell_length_a 4.8554
_cell_length_b 4.8554
_cell_length_c 4.8554
_cell_angle_alpha 90.00
_cell_angle_beta 90.00
_cell_angle_gamma 90.00
_space_group_name_H-M_alt 'P m -3 m'
_space_group_IT_number 221
_space_group_name_Hall '-P 4 2 3'
loop_
_atom_site_label
_atom_site_fract_x
_atom_site_fract_y
_atom_site_fract_z
_atom_site_occupancy
Ge1 0.0000 0.0000 0.5000 1
P1 0.5000 0.5000 0.5000 1
Ru1 0.0000 0.0000 0.0000 1

=====

# LiLu2Si | Alexandria | PBE | optimized geometry
# M_tot (μB/f.u.): 0.0
# E (eV per formula unit): -17.7
data_LiLu2Si
_cell_length_a 4.6537
_cell_length_b 4.6537
_cell_length_c 3.8706
_cell_angle_alpha 90.00
_cell_angle_beta 90.00
_cell_angle_gamma 90.00
_space_group_name_H-M_alt 'P 4/m m m'
_space_group_IT_number 123
_space_group_name_Hall '-P 4 2'
loop_
_atom_site_label
_atom_site_fract_x
_atom_site_fract_y
_atom_site_fract_z
_atom_site_occupancy
Li1 0.0000 0.0000 0.0000 1
Lu1 0.0000 0.5000 0.5000 1
Si1 0.5000 0.5000 0.0000 1

=====

# MnBe2Te | Alexandria | PBE | optimized geometry
# M_tot (μB/f.u.): 3.1
# E (eV per formula unit): -16.8
data_MnBe2Te
_cell_length_a 2.9913
_cell_length_b 2.9913
_cell_length_c 23.9232
_cell_angle_alpha 90.00
_cell_angle_beta 90.00
_cell_angle_gamma 120.00
_space_group_name_H-M_alt 'R -3 m'
_space_group_IT_number 166
_space_group_name_Hall '-R 3 2"'
loop_
_atom_site_label
_atom_site_fract_x
_atom_site_fract_y
_atom_site_fract_z
_atom_site_occupancy
Mn1 0.0000 0.0000 0.0000 1
Be1 0.0000 0.0000 0.2629 1
Te1 0.0000 0.0000 0.5000 1

=====

# Ti2MnCrH | Alexandria | PBE | optimized geometry
# ΔE to the lowest computed polymorph (kJ/mol of formula units): 3
# M_tot (μB/f.u.): 0.0
# E (eV per formula unit): -38.5
data_Ti2MnCrH
_cell_length_a 4.2099
_cell_length_b 4.2099
_cell_length_c 3.2100
_cell_angle_alpha 90.00
_cell_angle_beta 90.00
_cell_angle_gamma 90.00
_space_group_name_H-M_alt 'P 4/m m m'
_space_group_IT_number 123
_space_group_name_Hall '-P 4 2'
loop_
_atom_site_label
_atom_site_fract_x
_atom_site_fract_y
_atom_site_fract_z
_atom_site_occupancy
Ti1 0.0000 0.5000 0.0000 1
Mn1 0.0000 0.0000 0.5000 1
Cr1 0.5000 0.5000 0.5000 1
H1 0.5000 0.5000 0.0000 1

=====

# Sc3Cr | Alexandria | PBE | optimized geometry
# Energy relative to the elements (eV per atom): 0.16
# M_tot (μB/f.u.): 3.0
# E (eV per formula unit): -28.0
data_Sc3Cr
_cell_length_a 3.4287
_cell_length_b 4.9509
_cell_length_c 10.0939
_cell_angle_alpha 90.00
_cell_angle_beta 90.00
_cell_angle_gamma 90.00
_space_group_name_H-M_alt 'I m m m'
_space_group_IT_number 71
_space_group_name_Hall '-I 2 2'
loop_
_atom_site_label
_atom_site_fract_x
_atom_site_fract_y
_atom_site_fract_z
_atom_site_occupancy
Sc1 0.0000 0.0000 0.0000 1
Sc2 0.0000 0.5000 0.2164 1
Cr1 0.0000 0.0000 0.5000 1

=====

# RePWS2 | Alexandria | PBE | optimized geometry
# ΔE to the lowest computed polymorph (kJ/mol of formula units): 0
# M_tot (μB/f.u.): 4.7
# E (eV per formula unit): -33.0
data_RePWS2
_cell_length_a 4.5718
_cell_length_b 4.5718
_cell_length_c 4.9779
_cell_angle_alpha 90.00
_cell_angle_beta 90.00
_cell_angle_gamma 90.00
_space_group_name_H-M_alt 'P 4/m m m'
_space_group_IT_number 123
_space_group_name_Hall '-P 4 2'
loop_
_atom_site_label
_atom_site_fract_x
_atom_site_fract_y
_atom_site_fract_z
_atom_site_occupancy
Re1 0.0000 0.0000 0.0000 1
P1 0.5000 0.5000 0.0000 1
W1 0.5000 0.5000 0.5000 1
S1 0.0000 0.5000 0.5000 1

=====

# Sm3Ni7P4 | Alexandria | PBE | optimized geometry
# Energy relative to the elements (eV per atom): -0.84
# M_tot (μB/f.u.): 0.0
# E (eV per formula unit): -88.0
data_Sm3Ni7P4
_cell_length_a 14.8481
_cell_length_b 3.8472
_cell_length_c 9.0876
_cell_angle_alpha 90.00
_cell_angle_beta 127.18
_cell_angle_gamma 90.00
_space_group_name_H-M_alt 'C 1 2/m 1'
_space_group_IT_number 12
loop_
_space_group_symop_operation_xyz
'x,y,z'
'-x,-y,-z'
'-x,y,-z'
'x,-y,z'
'x+1/2,y+1/2,z'
'-x+1/2,-y+1/2,-z'
'-x+1/2,y+1/2,-z'
'x+1/2,-y+1/2,z'
loop_
_atom_site_label
_atom_site_fract_x
_atom_site_fract_y
_atom_site_fract_z
_atom_site_occupancy
Sm1 0.0000 0.0000 0.0000 1
Sm2 0.1821 0.5000 0.6779 1
Ni1 0.0000 0.0000 0.5000 1
Ni2 0.0057 0.5000 0.2813 1
Ni3 0.1605 0.0000 0.4176 1
Ni4 0.1930 0.5000 0.0180 1
P1 0.1084 0.0000 0.8227 1
P2 0.1608 0.5000 0.2826 1

=====

# DyTh2Tl3 | Alexandria | PBE | optimized geometry
# Energy relative to the elements (eV per atom): -0.21
# M_tot (μB/f.u.): 0.0
# E (eV per formula unit): -27.8
data_DyTh2Tl3
_cell_length_a 3.5712
_cell_length_b 3.5712
_cell_length_c 13.4301
_cell_angle_alpha 90.00
_cell_angle_beta 90.00
_cell_angle_gamma 90.00
_space_group_name_H-M_alt 'P 4/m m m'
_space_group_IT_number 123
_space_group_name_Hall '-P 4 2'
loop_
_atom_site_label
_atom_site_fract_x
_atom_site_fract_y
_atom_site_fract_z
_atom_site_occupancy
Dy1 0.0000 0.0000 0.0000 1
Th1 0.0000 0.0000 0.3294 1
Tl1 0.5000 0.5000 0.1581 1
Tl2 0.5000 0.5000 0.5000 1

=====

# Rb2PaCuTe4 | Alexandria | PBE | optimized geometry
# M_tot (μB/f.u.): 0.0
# E (eV per formula unit): -33.4
data_Rb2PaCuTe4
_cell_length_a 8.9603
_cell_length_b 8.9603
_cell_length_c 7.2660
_cell_angle_alpha 90.00
_cell_angle_beta 90.00
_cell_angle_gamma 90.00
_space_group_name_H-M_alt 'I -4 2 m'
_space_group_IT_number 121
_space_group_name_Hall 'I -4 2'
loop_
_atom_site_label
_atom_site_fract_x
_atom_site_fract_y
_atom_site_fract_z
_atom_site_occupancy
Rb1 0.0000 0.5000 0.0000 1
Pa1 0.0000 0.0000 0.0000 1
Cu1 0.0000 0.0000 0.5000 1
Te1 0.1673 0.1673 0.2741 1

=====

# RbNaUSi2O9 | Alexandria | PBE | optimized geometry
# M_tot (μB/f.u.): 2.0
# E (eV per formula unit): -102.1
data_RbNaUSi2O9
_cell_length_a 7.5197
_cell_length_b 8.0163
_cell_length_c 8.2323
_cell_angle_alpha 79.34
_cell_angle_beta 75.98
_cell_angle_gamma 85.07
_space_group_name_H-M_alt 'P -1'
_space_group_IT_number 2
loop_
_space_group_symop_operation_xyz
'x,y,z'
'-x,-y,-z'
loop_
_atom_site_label
_atom_site_fract_x
_atom_site_fract_y
_atom_site_fract_z
_atom_site_occupancy
Rb1 0.0859 0.4644 0.2148 1
Na1 0.3829 0.8155 0.7512 1
U1 0.0000 0.0000 0.0000 1
U2 0.5000 0.5000 0.5000 1
Si1 0.2081 0.8517 0.3623 1
Si2 0.2107 0.1407 0.5638 1
O1 0.0032 0.2092 0.5382 1
O2 0.0780 0.7788 0.9651 1
O3 0.1896 0.9734 0.1824 1
O4 0.2093 0.0912 0.7648 1
O5 0.2750 0.9623 0.4857 1
O6 0.3217 0.5402 0.6913 1
O7 0.3399 0.6831 0.3420 1
O8 0.3507 0.2858 0.4549 1
O9 0.3572 0.1971 0.1296 1